The following is a PBE calculation of TeCS2Cl after structural relaxation, from Alexandria.

a b c (Å): 4.3516 4.3516 4.3275
angles (deg): 90.00 90.00 90.00
Positions (direct):
S  0.5000  0.0000  0.0000
Cl  0.0000  0.0000  0.5000
C  0.0000  0.0000  0.0000
S  0.0000  0.5000  0.0000
Te  0.5000  0.5000  0.5000

Computed properties:
D(E_F) ... 3.60 states/eV per cell
Symmetry ... P4/mmm
Formation energy from raw total energies ... 1134 meV/atom